# 1
SbMo5 | PBE | relaxed

The raw formation energy comes out at 0.302 eV/atom.

It has space group P-62m (No. 189), with a = 4.9171 Å, b = 4.9171 Å, c = 4.7612 Å, α = 90.00°, β = 90.00° and γ = 120.00°. The inequivalent atoms are Sb at (0.0000, 0.0000, 0.0000), Mo at (0.0000, 0.6618, 0.5000) and Mo at (0.3333, 0.6667, 0.0000).


# 2
KFe3Ir | PBE | relaxed

The formation energy is 240.7 kJ per mole of atoms.

It has space group Pm-3m (No. 221), with a = 4.325 Å, b = 4.325 Å, c = 4.325 Å, α = 90.00°, β = 90.00° and γ = 90.00°. The inequivalent atoms are K at (0.000, 0.000, 0.000), Fe at (0.000, 0.000, 0.500) and Ir at (0.500, 0.500, 0.500).


# 3
NaSi2Ni | PBE | relaxed

The raw formation energy comes out at 0.092 eV/atom.

It has space group I4_1/amd (No. 141, origin choice 2), with a = 4.846 Å, b = 4.846 Å, c = 14.745 Å, α = 90.00°, β = 90.00° and γ = 90.00°. The inequivalent atoms are Na at (0.000, 0.250, 0.375), Si at (0.000, 0.000, 0.000) and Ni at (0.000, 0.250, 0.875).


# 4
SrSmRh | PBE | relaxed

The formation energy is -33.8 kJ per mole of atoms.

It has space group P3m1 (No. 156), with a = 4.1474 Å, b = 4.1474 Å, c = 6.7687 Å, α = 90.00°, β = 90.00° and γ = 120.00°. The inequivalent atoms are Sr at (0.0000, 0.0000, 0.0000), Sm at (0.3333, 0.6667, 0.4754) and Rh at (0.6667, 0.3333, 0.2744).


Number 1: excess energy over the best structure of this formula in the dataset 1.30 eV per formula unit. Number 2: excess energy over the best structure of this formula in the dataset 7.49 eV per formula unit. Number 3: excess energy over the best structure of this formula in the dataset 1.11 eV per formula unit. Number 4: excess energy over the best structure of this formula in the dataset 0.03 eV per formula unit.